1.
Computed, not measured: Ca3SnPb2 after structural relaxation at the PBE level of DFT.

The structure in extended XYZ format:
```
6
Lattice="3.7821 0.0000 0.0000 0.0000 3.7821 0.0000 0.0000 0.0000 12.5902" Properties=species:S:1:pos:R:3 pbc="T T T"
Ca 0.0000 0.0000 0.0000
Ca 0.0000 0.0000 4.2655
Ca 0.0000 0.0000 8.3247
Sn 1.8910 1.8910 6.2951
Pb 1.8910 1.8910 2.1180
Pb 1.8910 1.8910 10.4721
```

Calculated values
**Energy above the most stable polymorph in this dataset**: 0 meV per atom
**Size of the total moment**: 0.00 μB per formula unit
**SG**: No. 123

***

2.
Computed, not measured: U5Ti3H12 after structural relaxation at the PBE level of DFT.

The structure in extended XYZ format:
```
80
Lattice="-5.9526 5.9526 5.9526 5.9526 -5.9526 5.9526 5.9526 5.9526 -5.9526" Properties=species:S:1:pos:R:3 pbc="T T T"
U 0.0000 0.0000 0.0000
U 2.9763 2.9763 -2.9763
U 2.9763 -2.9763 2.9763
U 5.9526 0.0000 0.0000
U 8.9289 1.4881 0.0000
U 5.9526 -2.9763 4.4644
U 4.4644 5.9526 -2.9763
U 4.4644 0.0000 2.9763
U 2.9763 4.4644 0.0000
U 5.9526 2.9763 1.4881
U -2.9763 2.9763 2.9763
U 0.0000 5.9526 0.0000
U 0.0000 0.0000 5.9526
U 2.9763 2.9763 2.9763
U 0.0000 2.9763 4.4644
U 2.9763 1.4881 5.9526
U 1.4881 5.9526 2.9763
U 1.4881 0.0000 8.9289
U 0.0000 8.9289 1.4881
U -2.9763 4.4644 5.9526
Ti 2.9763 1.4881 0.0000
Ti 5.9526 2.9763 -1.4881
Ti 1.4881 0.0000 2.9763
Ti 7.4407 0.0000 2.9763
Ti 0.0000 2.9763 1.4881
Ti 2.9763 -1.4881 5.9526
Ti 2.9763 7.4407 0.0000
Ti 5.9526 2.9763 4.4644
Ti -1.4881 5.9526 2.9763
Ti 4.4644 5.9526 2.9763
Ti 0.0000 2.9763 7.4407
Ti 2.9763 4.4644 5.9526
H 7.8413 -0.1239 0.9583
H 7.0402 -2.0180 2.8524
H 6.0765 -0.9583 1.8887
H 8.8050 -1.0876 2.0180
H 1.8887 0.1239 0.9583
H 7.0402 3.9346 -2.8524
H 3.9346 2.8524 -1.0876
H 4.9943 1.8887 -0.1239
H 0.9583 1.8887 0.1239
H 7.9706 3.1002 -1.0876
H 0.1239 0.9583 1.8887
H 2.8524 -1.0876 3.9346
H 6.0765 4.9943 -1.8887
H 2.8524 1.0876 2.0180
H 2.0180 2.8524 1.0876
H 6.9109 4.0639 -0.1239
H 3.9346 -2.8524 7.0402
H 4.9943 -1.8887 6.0765
H 1.0876 2.0180 2.8524
H 1.8887 -0.1239 4.9943
H 2.8524 7.0402 -2.0180
H 6.0765 0.9583 4.0639
H 1.8887 6.0765 -0.9583
H 7.0402 2.0180 3.1002
H -1.0876 3.9346 2.8524
H 4.0639 -0.1239 6.9109
H -0.1239 4.9943 1.8887
H 3.1002 -1.0876 7.9706
H 4.0639 6.0765 0.9583
H 4.8650 3.9346 3.1002
H 0.9583 7.8413 -0.1239
H 2.0180 8.8050 -1.0876
H -0.9583 1.8887 6.0765
H 3.9346 3.1002 4.8650
H 3.1002 4.8650 3.9346
H -0.1239 0.9583 7.8413
H 3.1002 7.0402 2.0180
H 5.8287 4.9943 4.0639
H -2.0180 2.8524 7.0402
H 4.9943 4.0639 5.8287
H 0.9583 4.0639 6.0765
H 2.0180 3.1002 7.0402
H -1.0876 2.0180 8.8050
H 4.0639 5.8287 4.9943
H -2.8524 7.0402 3.9346
H -0.1239 6.9109 4.0639
H -1.0876 7.9706 3.1002
H -1.8887 6.0765 4.9943
```

Calculated values
**Final energy**: -0.22167 hartree per atom
**Size of the total moment**: 10.69 μB per formula unit
**SG**: No. 230

***

3.
Computed, not measured: La6NdCd after structural relaxation at the PBE level of DFT.

The structure in extended XYZ format:
```
8
Lattice="5.1520 0.0000 0.0000 0.0000 5.1520 0.0000 0.0000 0.0000 10.3679" Properties=species:S:1:pos:R:3 pbc="T T T"
La 0.0000 0.0000 0.0000
La 0.0000 0.0000 5.1840
La 0.0000 2.5760 2.5441
La 0.0000 2.5760 7.8239
La 2.5760 0.0000 2.5441
La 2.5760 0.0000 7.8239
Nd 2.5760 2.5760 5.1840
Cd 2.5760 2.5760 0.0000
```

Calculated values
**Energy above the most stable polymorph in this dataset**: 0 meV per atom
**Size of the total moment**: 0.00 μB per formula unit
**SG**: No. 123

***

4.
Computed, not measured: Pm5Tl2Si2 after structural relaxation at the PBE level of DFT.

The structure in extended XYZ format:
```
18
Lattice="8.1473 -3.9151 0.0000 8.1473 3.9151 0.0000 0.0000 0.0000 7.8869" Properties=species:S:1:pos:R:3 pbc="T T T"
Pm 0.0000 0.0000 0.0000
Pm 6.1184 2.4512 5.3652
Pm 6.1184 1.4639 1.4218
Pm 10.1761 2.4512 5.3652
Pm 10.1761 1.4639 1.4218
Pm 8.1473 0.0000 3.9434
Pm 6.1184 -1.4639 6.4651
Pm 6.1184 -2.4512 2.5217
Pm 10.1761 -1.4639 6.4651
Pm 10.1761 -2.4512 2.5217
Tl 3.6183 0.0000 0.0000
Tl 4.5290 0.0000 3.9434
Tl 11.7655 0.0000 3.9434
Tl 12.6762 0.0000 0.0000
Si 8.1473 3.0357 3.0323
Si 8.1473 0.8794 6.9758
Si 8.1473 -0.8794 0.9111
Si 8.1473 -3.0357 4.8546
```

Calculated values
**Formation energy without anion corrections**: -530 meV/atom
**Size of the total moment**: 0.00 μB per formula unit
**SG**: No. 64